Below is a relaxed structure of TmMnIn2O6, with properties calculated at the PBE with a Hubbard U level. Values from VASP.

Output
- space group = P1 (1)
- mass density (Mg/m³) = 7.074
- DFT total energy (Ha/atom) = -0.248

Geometry as Quantum ESPRESSO input:
```
&SYSTEM
  ibrav = 0, nat = 10, ntyp = 4
/
ATOMIC_SPECIES
Tm 168.93 Tm.upf
Mn 54.94 Mn.upf
In 114.82 In.upf
O 16.00 O.upf
CELL_PARAMETERS angstrom
5.415 0.000 0.000
2.581 4.858 0.000
0.022 2.985 4.903
ATOMIC_POSITIONS crystal
Tm 0.000 0.000 0.000
Mn 0.511 0.983 0.526
In 0.217 0.565 0.640
In 0.718 0.558 0.158
O 0.114 0.492 0.318
O 0.320 0.800 0.802
O 0.408 0.812 0.325
O 0.603 0.091 0.791
O 0.778 0.086 0.323
O 0.910 0.483 0.835
```